The following is a PBE calculation of crystalline AcCr2B6 at its relaxed geometry, from the Alexandria database.

Output
The calculation puts the density at 7.35 g/cm³. The value obtained for the formation energy from the elements is -425 meV/atom.

a b c (Å): 3.1287 6.7284 8.4944
angles (deg): 90.00 90.00 90.00
With the nearest neighbours (Å) after each atom.
Space group Immm (No. 71)
Symmetry-distinct sites (fractional):
Ac 0.0000 0.0000 0.0000 x2  16 B 2.92-3.00, 2 Ac 3.13
Cr 0.0000 0.5000 0.1547 x4  10 B 2.19-2.24
B 0.0000 0.1339 0.5000 x4  3 B 1.80-1.81
B 0.0000 0.2321 0.3016 x8  3 B 1.81